No. 1
Entry from Alexandria via LeMat-Bulk: an optimized crystal structure of HfBiPd (PBE).

Cell: 6.8668 6.8734 7.1480 Å, 90.00 118.43 90.00°
Space group C2/m (No. 12)
One atom of each set of equivalent atoms:
Hf 0.0000 0.2498 0.0000 (multiplicity 4)
Bi 0.2500 0.2500 0.5000 (multiplicity 4)
Pd 0.1535 0.0000 0.8055 (multiplicity 4)

Results
E_form ... -0.267 eV/atom
Density of states at the Fermi level ... 7.65 states/eV per cell
Crystal system ... monoclinic
Spin magnetization ... 0.00 μB/atom

No. 2
Entry from Alexandria via LeMat-Bulk: an optimized crystal structure of HfBi3Pd (PBE).

Cell: 5.5729 5.5729 5.5729 Å, 90.00 90.00 90.00°
Space group Pm-3m (No. 221)
One atom of each set of equivalent atoms:
Hf 0.0000 0.0000 0.0000 (multiplicity 1)
Bi 0.0000 0.0000 0.5000 (multiplicity 3)
Pd 0.5000 0.5000 0.5000 (multiplicity 1)

Results
E_form ... 0.608 eV/atom
Density of states at the Fermi level ... 4.80 states/eV per cell
Distance to the lowest polymorph of the same formula ... 49 meV/atom
Crystal system ... cubic
Spin magnetization ... 0.00 μB/atom

No. 3
Entry from Alexandria via LeMat-Bulk: an optimized crystal structure of HfBiPd2 (PBE).

Cell: 4.2299 4.2299 18.8908 Å, 90.00 90.00 90.00°
Space group I-42d (No. 122)
One atom of each set of equivalent atoms:
Hf 0.0000 0.0000 0.0000 (multiplicity 4)
Bi 0.0000 0.0000 0.5000 (multiplicity 4)
Pd 0.2358 0.2500 0.1250 (multiplicity 8)

Results
E_form ... -0.169 eV/atom
Density of states at the Fermi level ... 4.45 states/eV per cell
Crystal system ... tetragonal
Spin magnetization ... 0.00 μB/atom

No. 4
Entry from Alexandria via LeMat-Bulk: an optimized crystal structure of HfBi2Pd (PBE).

Cell: 3.3542 3.3542 30.9583 Å, 90.00 90.00 120.00°
Space group R-3m (No. 166, hexagonal axes)
One atom of each set of equivalent atoms:
Hf 0.0000 0.0000 0.0000 (multiplicity 3)
Bi 0.0000 0.0000 0.4136 (multiplicity 6)
Pd 0.0000 0.0000 0.5000 (multiplicity 3)

Results
E_form ... 0.092 eV/atom
Density of states at the Fermi level ... 7.30 states/eV per cell
Crystal system ... trigonal
Spin magnetization ... 0.00 μB/atom

No. 5
Entry from Alexandria via LeMat-Bulk: an optimized crystal structure of Hf2BiPd (PBE).

Cell: 7.7496 7.7496 6.0556 Å, 90.00 90.00 90.00°
Space group I-42d (No. 122)
One atom of each set of equivalent atoms:
Hf 0.2139 0.7500 0.1250 (multiplicity 8)
Bi 0.0000 0.0000 0.5000 (multiplicity 4)
Pd 0.0000 0.0000 0.0000 (multiplicity 4)

Results
E_form ... -0.107 eV/atom
Density of states at the Fermi level ... 9.34 states/eV per cell
Crystal system ... tetragonal
Spin magnetization ... 0.00 μB/atom

No. 6
Entry from Alexandria via LeMat-Bulk: an optimized crystal structure of Hf2BiPd (PBE).

Cell: 4.3373 4.3373 4.4098 Å, 90.00 90.00 90.00°
Space group P4/mmm (No. 123)
One atom of each set of equivalent atoms:
Hf 0.0000 0.5000 0.0000 (multiplicity 2)
Bi 0.0000 0.0000 0.5000 (multiplicity 1)
Pd 0.5000 0.5000 0.5000 (multiplicity 1)

Results
E_form ... -0.250 eV/atom
Density of states at the Fermi level ... 3.87 states/eV per cell
Crystal system ... tetragonal
Spin magnetization ... 0.00 μB/atom

No. 7
Entry from Alexandria via LeMat-Bulk: an optimized crystal structure of HfBiPd3 (PBE).

Cell: 4.5219 5.6684 7.7530 Å, 90.00 90.00 90.00°
Space group Pmmn (No. 59, origin choice 2)
One atom of each set of equivalent atoms:
Hf 0.2500 0.2500 0.0673 (multiplicity 2)
Bi 0.2500 0.2500 0.4583 (multiplicity 2)
Pd 0.2500 0.5113 0.7693 (multiplicity 4)
Pd 0.2500 0.7500 0.1241 (multiplicity 2)

Results
E_form ... -0.532 eV/atom
Density of states at the Fermi level ... 4.36 states/eV per cell
Distance to the lowest polymorph of the same formula ... 0 meV/atom
Crystal system ... orthorhombic
Spin magnetization ... 0.00 μB/atom

No. 8
Entry from Alexandria via LeMat-Bulk: an optimized crystal structure of Hf6Bi2Pd (PBE).

Cell: 5.8639 7.3365 11.2455 Å, 90.00 120.39 90.00°
Space group P2_1/c (No. 14)
One atom of each set of equivalent atoms:
Hf 0.1018 0.0452 0.2412 (multiplicity 4)
Hf 0.1718 0.7444 0.5423 (multiplicity 4)
Hf 0.3717 0.1559 0.0207 (multiplicity 4)
Bi 0.3358 0.0846 0.7228 (multiplicity 4)
Pd 0.5000 0.0000 0.5000 (multiplicity 2)

Results
E_form ... -0.072 eV/atom
Density of states at the Fermi level ... 13.73 states/eV per cell
Crystal system ... monoclinic
Spin magnetization ... 0.00 μB/atom

No. 9
Entry from Alexandria via LeMat-Bulk: an optimized crystal structure of HfBi2Pd (PBE).

Cell: 4.5227 4.5227 20.0264 Å, 90.00 90.00 90.00°
Space group I-42d (No. 122)
One atom of each set of equivalent atoms:
Hf 0.0000 0.0000 0.0000 (multiplicity 4)
Bi 0.2429 0.2500 0.6250 (multiplicity 8)
Pd 0.0000 0.0000 0.5000 (multiplicity 4)

Results
E_form ... 0.139 eV/atom
Density of states at the Fermi level ... 13.00 states/eV per cell
Crystal system ... tetragonal
Spin magnetization ... 0.00 μB/atom

No. 10
Entry from Alexandria via LeMat-Bulk: an optimized crystal structure of Hf2BiPd2 (PBE).

Cell: 7.7706 7.7706 3.3585 Å, 90.00 90.00 90.00°
Space group P4/mbm (No. 127)
One atom of each set of equivalent atoms:
Hf 0.1621 0.3379 0.0000 (multiplicity 4)
Bi 0.0000 0.0000 0.5000 (multiplicity 2)
Pd 0.1277 0.6277 0.5000 (multiplicity 4)

Results
E_form ... -0.510 eV/atom
Density of states at the Fermi level ... 4.73 states/eV per cell
Distance to the lowest polymorph of the same formula ... 0 meV/atom
Crystal system ... tetragonal
Spin magnetization ... 0.00 μB/atom

No. 11
Entry from Alexandria via LeMat-Bulk: an optimized crystal structure of HfBi2Pd9 (PBE).

Cell: 4.0912 4.0912 12.3443 Å, 90.00 90.00 90.00°
Space group P4/mmm (No. 123)
One atom of each set of equivalent atoms:
Hf 0.0000 0.0000 0.0000 (multiplicity 1)
Bi 0.0000 0.0000 0.3317 (multiplicity 2)
Pd 0.0000 0.5000 0.1555 (multiplicity 4)
Pd 0.0000 0.5000 0.5000 (multiplicity 2)
Pd 0.5000 0.5000 0.0000 (multiplicity 1)
Pd 0.5000 0.5000 0.3281 (multiplicity 2)

Results
E_form ... -0.448 eV/atom
Density of states at the Fermi level ... 5.98 states/eV per cell
Crystal system ... tetragonal
Spin magnetization ... 0.00 μB/atom

No. 12
Entry from Alexandria via LeMat-Bulk: an optimized crystal structure of Hf4BiPd (PBE).

Cell: 7.8683 12.6516 5.5648 Å, 90.00 109.67 90.00°
Space group C2/c (No. 15)
One atom of each set of equivalent atoms:
Hf 0.0921 0.1939 0.0518 (multiplicity 8)
Hf 0.2145 0.3937 0.3654 (multiplicity 8)
Bi 0.0000 0.3994 0.7500 (multiplicity 4)
Pd 0.0000 0.0031 0.7500 (multiplicity 4)

Results
E_form ... -0.245 eV/atom
Density of states at the Fermi level ... 23.63 states/eV per cell
Crystal system ... monoclinic
Spin magnetization ... 0.00 μB/atom

No. 13
Entry from Alexandria via LeMat-Bulk: an optimized crystal structure of Hf3BiPd (PBE).

Cell: 5.2846 5.2846 5.2846 Å, 90.00 90.00 90.00°
Space group Pm-3m (No. 221)
One atom of each set of equivalent atoms:
Hf 0.0000 0.0000 0.5000 (multiplicity 3)
Bi 0.0000 0.0000 0.0000 (multiplicity 1)
Pd 0.5000 0.5000 0.5000 (multiplicity 1)

Results
E_form ... 1.460 eV/atom
Density of states at the Fermi level ... 5.28 states/eV per cell
Distance to the lowest polymorph of the same formula ... 1236 meV/atom
Crystal system ... cubic
Spin magnetization ... 0.00 μB/atom

No. 14
Entry from Alexandria via LeMat-Bulk: an optimized crystal structure of HfBiPd (PBE).

Cell: 3.3778 3.3778 11.6661 Å, 90.00 90.00 90.00°
Space group I4mm (No. 107)
One atom of each set of equivalent atoms:
Hf 0.0000 0.0000 0.0000 (multiplicity 2)
Bi 0.0000 0.0000 0.3041 (multiplicity 2)
Pd 0.0000 0.0000 0.6200 (multiplicity 2)

Results
E_form ... -0.333 eV/atom
Density of states at the Fermi level ... 4.30 states/eV per cell
Crystal system ... tetragonal
Spin magnetization ... 0.00 μB/atom

No. 15
Entry from Alexandria via LeMat-Bulk: an optimized crystal structure of Hf2BiPd8 (PBE).

Cell: 14.5882 4.1250 6.5926 Å, 90.00 106.86 90.00°
Space group C2/m (No. 12)
One atom of each set of equivalent atoms:
Hf 0.2169 0.0000 0.1634 (multiplicity 4)
Bi 0.0000 0.5000 0.5000 (multiplicity 2)
Pd 0.0428 0.0000 0.2203 (multiplicity 4)
Pd 0.0986 0.5000 0.9621 (multiplicity 4)
Pd 0.1526 0.0000 0.7132 (multiplicity 4)
Pd 0.1803 0.5000 0.4131 (multiplicity 4)

Results
E_form ... -0.578 eV/atom
Density of states at the Fermi level ... 13.26 states/eV per cell
Crystal system ... monoclinic
Spin magnetization ... 0.00 μB/atom

No. 16
Entry from Alexandria via LeMat-Bulk: an optimized crystal structure of HfBiPd2 (PBE).

Cell: 3.3904 3.3904 25.6161 Å, 90.00 90.00 120.00°
Space group R-3m (No. 166, hexagonal axes)
One atom of each set of equivalent atoms:
Hf 0.0000 0.0000 0.0000 (multiplicity 3)
Bi 0.0000 0.0000 0.5000 (multiplicity 3)
Pd 0.0000 0.0000 0.2604 (multiplicity 6)

Results
E_form ... -0.360 eV/atom
Density of states at the Fermi level ... 4.47 states/eV per cell
Crystal system ... trigonal
Spin magnetization ... 0.00 μB/atom

No. 17
Entry from Alexandria via LeMat-Bulk: an optimized crystal structure of HfBiPd3 (PBE).

Cell: 4.9217 4.9217 4.9217 Å, 90.00 90.00 90.00°
Space group Pm-3m (No. 221)
One atom of each set of equivalent atoms:
Hf 0.0000 0.0000 0.0000 (multiplicity 1)
Bi 0.5000 0.5000 0.5000 (multiplicity 1)
Pd 0.0000 0.0000 0.5000 (multiplicity 3)

Results
E_form ... 0.337 eV/atom
Density of states at the Fermi level ... 1.91 states/eV per cell
Distance to the lowest polymorph of the same formula ... 869 meV/atom
Crystal system ... cubic
Spin magnetization ... 0.00 μB/atom

No. 18
Entry from Alexandria via LeMat-Bulk: an optimized crystal structure of Hf3BiPd (PBE).

Cell: 5.0570 5.0570 5.0570 Å, 90.00 90.00 90.00°
Space group Pm-3m (No. 221)
One atom of each set of equivalent atoms:
Hf 0.0000 0.0000 0.5000 (multiplicity 3)
Bi 0.5000 0.5000 0.5000 (multiplicity 1)
Pd 0.0000 0.0000 0.0000 (multiplicity 1)

Results
E_form ... 0.224 eV/atom
Density of states at the Fermi level ... 4.74 states/eV per cell
Distance to the lowest polymorph of the same formula ... 0 meV/atom
Crystal system ... cubic
Spin magnetization ... 0.00 μB/atom

No. 19
Entry from Alexandria via LeMat-Bulk: an optimized crystal structure of HfBiPd2Ru (PBE).

Cell: 4.8260 4.8260 5.5154 Å, 90.00 90.00 90.00°
Space group P4/mmm (No. 123)
One atom of each set of equivalent atoms:
Hf 0.0000 0.0000 0.0000 (multiplicity 1)
Bi 0.0000 0.0000 0.5000 (multiplicity 1)
Pd 0.0000 0.5000 0.0000 (multiplicity 2)
Ru 0.5000 0.5000 0.5000 (multiplicity 1)

Results
E_form ... 1.184 eV/atom
Density of states at the Fermi level ... 5.83 states/eV per cell
Crystal system ... tetragonal
Spin magnetization ... 0.44 μB/atom

No. 20
Entry from Alexandria via LeMat-Bulk: an optimized crystal structure of Pm2HfBi (PBE).

Cell: 3.4483 3.4483 35.8489 Å, 90.00 90.00 120.00°
Space group R-3m (No. 166, hexagonal axes)
One atom of each set of equivalent atoms:
Pm 0.0000 0.0000 0.0919 (multiplicity 6)
Hf 0.0000 0.0000 0.5000 (multiplicity 3)
Bi 0.0000 0.0000 0.0000 (multiplicity 3)

Results
E_form ... 0.105 eV/atom
Density of states at the Fermi level ... 11.46 states/eV per cell
Distance to the lowest polymorph of the same formula ... 271 meV/atom
Crystal system ... trigonal
Spin magnetization ... 0.00 μB/atom